# 1
Below is a relaxed structure of K2NiAsCl6, with properties calculated at the GGA-PBE level.

Calculated values
Calculated density = 2.9 Mg/m³
DFT total energy = -0.1257 hartree per atom

Lattice parameters (Å, degrees): 6.987 6.987 6.987 60.00 60.00 60.00
Element x y z (fractional)
K  0.250  0.250  0.250
K  0.750  0.750  0.750
Ni  0.000  0.000  0.000
As  0.500  0.500  0.500
Cl  0.244  0.244  0.756
Cl  0.244  0.756  0.244
Cl  0.244  0.756  0.756
Cl  0.756  0.244  0.244
Cl  0.756  0.244  0.756
Cl  0.756  0.756  0.244

# 2
Below is a relaxed structure of K2AsPdCl6, with properties calculated at the GGA-PBE level.

Calculated values
Calculated density = 3.1 Mg/m³
DFT total energy = -0.1242 hartree per atom

Lattice parameters (Å, degrees): 7.122 7.122 7.122 60.00 60.00 60.00
Element x y z (fractional)
K  0.250  0.250  0.250
K  0.750  0.750  0.750
As  0.000  0.000  0.000
Pd  0.500  0.500  0.500
Cl  0.249  0.249  0.751
Cl  0.249  0.751  0.249
Cl  0.249  0.751  0.751
Cl  0.751  0.249  0.249
Cl  0.751  0.249  0.751
Cl  0.751  0.751  0.249

# 3
Below is a relaxed structure of NbAsCl4, with properties calculated at the GGA-PBE level.

Calculated values
Calculated density = 3.3 Mg/m³
DFT total energy = -0.1544 hartree per atom

Lattice parameters (Å, degrees): 6.666 6.666 3.586 90.00 90.00 99.18
Element x y z (fractional)
Nb  0.000  0.000  0.000
As  0.500  0.500  0.500
Cl  0.173  0.827  0.500
Cl  0.288  0.288  0.000
Cl  0.712  0.712  0.000
Cl  0.827  0.173  0.500

# 4
Below is a relaxed structure of NbAsPCl13, with properties calculated at the GGA-PBE level.

Calculated values
Calculated density = 2.3 Mg/m³
DFT total energy = -0.1339 hartree per atom

Lattice parameters (Å, degrees): 9.467 9.467 11.670 90.00 90.00 115.43
Element x y z (fractional)
Nb  0.207  0.793  0.500
Nb  0.793  0.207  0.000
As  0.448  0.552  0.348
As  0.552  0.448  0.848
P  0.141  0.859  0.035
P  0.859  0.141  0.535
Cl  0.019  0.313  0.116
Cl  0.073  0.242  0.593
Cl  0.087  0.913  0.379
Cl  0.102  0.565  0.378
Cl  0.138  0.862  0.867
Cl  0.242  0.073  0.093
Cl  0.258  0.742  0.086
Cl  0.297  0.371  0.870
Cl  0.313  0.019  0.616
Cl  0.331  0.669  0.612
Cl  0.371  0.297  0.370
Cl  0.435  0.898  0.378
Cl  0.445  0.555  0.158
Cl  0.555  0.445  0.658
Cl  0.565  0.102  0.878
Cl  0.629  0.703  0.870
Cl  0.669  0.331  0.112
Cl  0.687  0.981  0.116
Cl  0.703  0.629  0.370
Cl  0.742  0.258  0.586
Cl  0.758  0.927  0.593
Cl  0.862  0.138  0.367
Cl  0.898  0.435  0.878
Cl  0.913  0.087  0.879
Cl  0.927  0.758  0.093
Cl  0.981  0.687  0.616

# 5
Below is a relaxed structure of Nd5As4Cl3O12, with properties calculated at the GGA-PBE level.

Calculated values
Calculated density = 5.7 Mg/m³
DFT total energy = -0.2541 hartree per atom

Lattice parameters (Å, degrees): 10.225 5.439 16.866 90.00 124.25 90.00
Element x y z (fractional)
Nd  0.000  0.207  0.250
Nd  0.000  0.793  0.750
Nd  0.005  0.264  0.585
Nd  0.005  0.736  0.085
Nd  0.342  0.244  0.534
Nd  0.342  0.756  0.034
Nd  0.658  0.244  0.966
Nd  0.658  0.756  0.466
Nd  0.995  0.264  0.915
Nd  0.995  0.736  0.415
As  0.264  0.262  0.153
As  0.264  0.738  0.653
As  0.276  0.240  0.864
As  0.276  0.760  0.364
As  0.724  0.240  0.636
As  0.724  0.760  0.136
As  0.736  0.262  0.347
As  0.736  0.738  0.847
Cl  0.492  0.253  0.415
Cl  0.492  0.747  0.915
Cl  0.500  0.248  0.750
Cl  0.500  0.752  0.250
Cl  0.508  0.253  0.085
Cl  0.508  0.747  0.585
O  0.096  0.326  0.157
O  0.096  0.674  0.657
O  0.142  0.153  0.743
O  0.142  0.847  0.243
O  0.176  0.010  0.065
O  0.176  0.990  0.565
O  0.183  0.496  0.880
O  0.183  0.504  0.380
O  0.188  0.500  0.056
O  0.188  0.500  0.556
O  0.192  0.015  0.904
O  0.192  0.985  0.404
O  0.808  0.015  0.596
O  0.808  0.985  0.096
O  0.812  0.500  0.444
O  0.812  0.500  0.944
O  0.817  0.496  0.620
O  0.817  0.504  0.120
O  0.824  0.010  0.435
O  0.824  0.990  0.935
O  0.858  0.153  0.757
O  0.858  0.847  0.257
O  0.904  0.326  0.343
O  0.904  0.674  0.843

# 6
Below is a relaxed structure of Pr3NdAs2Cl2, with properties calculated at the GGA-PBE level.

Calculated values
Calculated density = 5.9 Mg/m³
DFT total energy = -0.2035 hartree per atom

Lattice parameters (Å, degrees): 4.190 4.190 14.489 90.00 90.00 120.00
Element x y z (fractional)
Pr  0.000  0.000  0.000
Pr  0.000  0.000  0.281
Pr  0.667  0.333  0.502
Nd  0.667  0.333  0.782
As  0.333  0.667  0.391
As  0.333  0.667  0.889
Cl  0.000  0.000  0.643
Cl  0.667  0.333  0.141

# 7
Below is a relaxed structure of Rb2NiAsCl6, with properties calculated at the GGA-PBE level.

Calculated values
Calculated density = 3.5 Mg/m³
DFT total energy = -0.1253 hartree per atom

Lattice parameters (Å, degrees): 7.042 7.042 7.042 60.00 60.00 60.00
Element x y z (fractional)
Rb  0.250  0.250  0.250
Rb  0.750  0.750  0.750
Ni  0.000  0.000  0.000
As  0.500  0.500  0.500
Cl  0.244  0.244  0.756
Cl  0.244  0.756  0.244
Cl  0.244  0.756  0.756
Cl  0.756  0.244  0.244
Cl  0.756  0.244  0.756
Cl  0.756  0.756  0.244

# 8
Below is a relaxed structure of Sm3As3Cl2O8, with properties calculated at the GGA-PBE level.

Calculated values
Calculated density = 5.8 Mg/m³
DFT total energy = -0.2498 hartree per atom

Lattice parameters (Å, degrees): 5.437 8.321 11.154 89.91 85.47 89.39
Element x y z (fractional)
Sm  0.231  0.338  0.132
Sm  0.237  0.997  0.373
Sm  0.256  0.007  0.870
Sm  0.744  0.993  0.130
Sm  0.763  0.003  0.627
Sm  0.769  0.662  0.868
As  0.223  0.741  0.091
As  0.311  0.706  0.657
As  0.315  0.277  0.589
As  0.685  0.723  0.411
As  0.689  0.294  0.343
As  0.777  0.259  0.909
Cl  0.195  0.516  0.342
Cl  0.270  0.492  0.888
Cl  0.730  0.508  0.112
Cl  0.805  0.484  0.658
O  0.002  0.816  0.985
O  0.053  0.821  0.724
O  0.082  0.152  0.539
O  0.137  0.906  0.187
O  0.411  0.152  0.707
O  0.437  0.833  0.526
O  0.480  0.190  0.245
O  0.489  0.829  0.007
O  0.511  0.171  0.993
O  0.520  0.810  0.755
O  0.563  0.167  0.474
O  0.589  0.848  0.293
O  0.863  0.094  0.813
O  0.918  0.848  0.461
O  0.947  0.179  0.276
O  0.998  0.184  0.015

# 9
Below is a relaxed structure of AsOsCl3, with properties calculated at the GGA-PBE level.

Calculated values
Calculated density = 3.8 Mg/m³
DFT total energy = -0.1585 hartree per atom

Lattice parameters (Å, degrees): 6.218 6.218 9.824 90.00 90.00 120.00
Element x y z (fractional)
As  0.000  0.000  0.108
As  0.000  0.000  0.892
Os  0.333  0.667  0.500
Os  0.667  0.333  0.500
Cl  0.000  0.368  0.634
Cl  0.000  0.632  0.366
Cl  0.368  0.000  0.634
Cl  0.368  0.368  0.366
Cl  0.632  0.000  0.366
Cl  0.632  0.632  0.634

# 10
Below is a relaxed structure of TaAsPCl13, with properties calculated at the GGA-PBE level.

Calculated values
Calculated density = 2.6 Mg/m³
DFT total energy = -0.1397 hartree per atom

Lattice parameters (Å, degrees): 9.456 9.456 11.645 90.00 90.00 115.27
Element x y z (fractional)
Ta  0.205  0.795  0.500
Ta  0.795  0.205  0.000
As  0.452  0.548  0.349
As  0.548  0.452  0.849
P  0.143  0.857  0.035
P  0.857  0.143  0.535
Cl  0.021  0.310  0.116
Cl  0.071  0.244  0.595
Cl  0.084  0.916  0.381
Cl  0.099  0.569  0.379
Cl  0.139  0.861  0.867
Cl  0.244  0.071  0.095
Cl  0.260  0.740  0.085
Cl  0.294  0.375  0.869
Cl  0.310  0.021  0.616
Cl  0.327  0.673  0.614
Cl  0.375  0.294  0.369
Cl  0.431  0.901  0.379
Cl  0.447  0.553  0.158
Cl  0.553  0.447  0.658
Cl  0.569  0.099  0.879
Cl  0.625  0.706  0.869
Cl  0.673  0.327  0.114
Cl  0.690  0.979  0.116
Cl  0.706  0.625  0.369
Cl  0.740  0.260  0.585
Cl  0.756  0.929  0.595
Cl  0.861  0.139  0.367
Cl  0.901  0.431  0.879
Cl  0.916  0.084  0.881
Cl  0.929  0.756  0.095
Cl  0.979  0.690  0.616

# 11
Below is a relaxed structure of Pr3AsS5Cl2, with properties calculated at the GGA-PBE level.

Calculated values
Calculated density = 4.5 Mg/m³
DFT total energy = -0.2073 hartree per atom

Lattice parameters (Å, degrees): 11.587 11.587 7.081 98.43 98.43 35.03
Element x y z (fractional)
Pr  0.054  0.639  0.847
Pr  0.202  0.798  0.500
Pr  0.490  0.910  0.864
Pr  0.639  0.054  0.347
Pr  0.798  0.202  0.000
Pr  0.910  0.490  0.364
As  0.356  0.736  0.058
As  0.736  0.356  0.558
S  0.000  0.163  0.368
S  0.163  0.000  0.868
S  0.395  0.543  0.831
S  0.543  0.395  0.331
S  0.562  0.666  0.526
S  0.666  0.562  0.026
S  0.715  0.826  0.604
S  0.826  0.715  0.104
S  0.870  0.983  0.669
S  0.983  0.870  0.169
Cl  0.115  0.316  0.730
Cl  0.231  0.447  0.482
Cl  0.316  0.115  0.230
Cl  0.447  0.231  0.982

# 12
Below is a relaxed structure of CoAs3, with properties calculated at the GGA-PBE level.

Calculated values
Calculated density = 6.7 Mg/m³
DFT total energy = -0.2047 hartree per atom

Lattice parameters (Å, degrees): 7.148 7.148 7.148 109.47 109.47 109.47
Element x y z (fractional)
Co  0.000  0.000  0.500
Co  0.000  0.500  0.000
Co  0.500  0.000  0.000
Co  0.500  0.500  0.500
As  0.152  0.341  0.493
As  0.152  0.659  0.811
As  0.189  0.848  0.341
As  0.341  0.189  0.848
As  0.341  0.493  0.152
As  0.493  0.152  0.341
As  0.507  0.848  0.659
As  0.659  0.507  0.848
As  0.659  0.811  0.152
As  0.811  0.152  0.659
As  0.848  0.341  0.189
As  0.848  0.659  0.507

Number 8 is which compound? Sm3As3Cl2O8

What is the DFT total energy in the twelfth record? -0.2047 hartree per atom

Which value of DFT total energy does entry 7 give? -0.1253 hartree per atom